Material: YHo2Co2B2O3
Method: DFT, PBE with a Hubbard U
State: relaxed

Unit cell a=3.4017 b=3.4017 c=21.3475 alpha=90.00 beta=90.00 gamma=90.00
Last column: nearest neighbours and their distance in Å.
Space group I4/mmm (No. 139)
Asymmetric unit:
Y  0.0000  0.0000  0.0000 (multiplicity 2)  6 O 2.21-2.41
Ho  0.0000  0.0000  0.3617 (multiplicity 4)  4 O 2.52
Co  0.0000  0.5000  0.2500 (multiplicity 4)  4 B 1.91
B  0.0000  0.0000  0.2090 (multiplicity 4)  4 Co 1.91
O  0.0000  0.0000  0.1038 (multiplicity 4)  1 Y 2.21, 1 B 2.25
O  0.0000  0.0000  0.5000 (multiplicity 2)  4 Y 2.41

E ... -141.0 eV/cell